Here is a relaxed SrNpFe2O6 crystal from Alexandria. Energies are from PBE with a Hubbard U.

## Properties
Total DFT energy (no corrections) in eV per atom: -7.837
Spin magnetization in Bohr magnetons per cell: 7.0
Theoretical density in g cm⁻³: 6.37

Unit cell a=5.562 b=5.643 c=5.914 alpha=90.46 beta=116.46 gamma=119.24
Space group P1 (No. 1)
Inequivalent atoms, fractional coordinates:
Sr 0.000 0.000 0.000 [1 per cell]
Np 0.971 0.485 0.447 [1 per cell]
Fe 0.551 0.266 0.827 [1 per cell]
Fe 0.587 0.815 0.372 [1 per cell]
O 0.093 0.214 0.638 [1 per cell]
O 0.112 0.454 0.191 [1 per cell]
O 0.442 0.877 0.637 [1 per cell]
O 0.538 0.104 0.157 [1 per cell]
O 0.755 0.667 0.202 [1 per cell]
O 0.780 0.537 0.662 [1 per cell]